1.
Below is RbNaIn2Cl8 after structural relaxation, with properties calculated at the PBE level.

Computed properties:
Formation energy from raw total energies ... -1350 meV/atom
Total energy ... -3.23 eV per atom
Total moment ... 0.0 μB/cell
Mass density ... 2.35 g/cm3
Crystal system ... tetragonal

Cell: 8.366 8.366 8.366 Å, 104.42 104.42 120.14°
Fractional coordinates of all 12 atoms:
Rb: 0.000 0.000 0.000
Na: 0.250 0.750 0.500
In: 0.500 0.500 0.000
In: 0.750 0.250 0.500
Cl: 0.330 0.142 0.812
Cl: 0.330 0.519 0.188
Cl: 0.385 0.060 0.325
Cl: 0.481 0.670 0.812
Cl: 0.735 0.060 0.675
Cl: 0.858 0.670 0.188
Cl: 0.940 0.265 0.325
Cl: 0.940 0.615 0.675

---

2.
Below is Rb3Na2InCl6 after structural relaxation, with properties calculated at the PBE level.

Computed properties:
Formation energy from raw total energies ... -1673 meV/atom
Total energy ... -3.29 eV per atom
Total moment ... 0.0 μB/cell
Mass density ... 2.74 g/cm3
Crystal system ... monoclinic

Cell: 9.970 9.970 9.002 Å, 102.74 102.74 25.99°
Fractional coordinates of all 12 atoms:
Rb: 0.000 0.000 0.000
Rb: 0.337 0.337 0.665
Rb: 0.663 0.663 0.335
Na: 0.328 0.328 0.157
Na: 0.672 0.672 0.843
In: 0.000 0.000 0.500
Cl: 0.168 0.168 0.613
Cl: 0.175 0.175 0.068
Cl: 0.485 0.485 0.246
Cl: 0.515 0.515 0.754
Cl: 0.825 0.825 0.932
Cl: 0.832 0.832 0.387

---

3.
Below is RbNaInCl3 after structural relaxation, with properties calculated at the PBE level.

Computed properties:
Formation energy from raw total energies ... -1479 meV/atom
Total energy ... -3.24 eV per atom
Total moment ... 0.0 μB/cell
Mass density ... 2.52 g/cm3
Crystal system ... monoclinic

Cell: 9.586 4.429 10.276 Å, 90.00 94.28 90.00°
Fractional coordinates of all 12 atoms:
Rb: 0.147 0.250 0.181
Rb: 0.853 0.750 0.819
Na: 0.128 0.250 0.591
Na: 0.872 0.750 0.409
In: 0.374 0.750 0.838
In: 0.626 0.250 0.162
Cl: 0.128 0.250 0.853
Cl: 0.160 0.750 0.447
Cl: 0.390 0.750 0.109
Cl: 0.610 0.250 0.891
Cl: 0.840 0.250 0.553
Cl: 0.872 0.750 0.147

---

Question: Which of these has the highest formation energy from raw total energies?
Answer: RbNaIn2Cl8

---

Question: What is the total energy in the second record?
Answer: -3.29 eV per atom

---

Repeat the first record exactly.
Below is RbNaIn2Cl8 after structural relaxation, with properties calculated at the PBE level.

Computed properties:
Formation energy from raw total energies ... -1350 meV/atom
Total energy ... -3.23 eV per atom
Total moment ... 0.0 μB/cell
Mass density ... 2.35 g/cm3
Crystal system ... tetragonal

Cell: 8.366 8.366 8.366 Å, 104.42 104.42 120.14°
Fractional coordinates of all 12 atoms:
Rb: 0.000 0.000 0.000
Na: 0.250 0.750 0.500
In: 0.500 0.500 0.000
In: 0.750 0.250 0.500
Cl: 0.330 0.142 0.812
Cl: 0.330 0.519 0.188
Cl: 0.385 0.060 0.325
Cl: 0.481 0.670 0.812
Cl: 0.735 0.060 0.675
Cl: 0.858 0.670 0.188
Cl: 0.940 0.265 0.325
Cl: 0.940 0.615 0.675

---

Please write out number 2 again, unchanged.
Below is Rb3Na2InCl6 after structural relaxation, with properties calculated at the PBE level.

Computed properties:
Formation energy from raw total energies ... -1673 meV/atom
Total energy ... -3.29 eV per atom
Total moment ... 0.0 μB/cell
Mass density ... 2.74 g/cm3
Crystal system ... monoclinic

Cell: 9.970 9.970 9.002 Å, 102.74 102.74 25.99°
Fractional coordinates of all 12 atoms:
Rb: 0.000 0.000 0.000
Rb: 0.337 0.337 0.665
Rb: 0.663 0.663 0.335
Na: 0.328 0.328 0.157
Na: 0.672 0.672 0.843
In: 0.000 0.000 0.500
Cl: 0.168 0.168 0.613
Cl: 0.175 0.175 0.068
Cl: 0.485 0.485 0.246
Cl: 0.515 0.515 0.754
Cl: 0.825 0.825 0.932
Cl: 0.832 0.832 0.387